Compound: Ho2TmPt2
Source: Alexandria via LeMat-Bulk
Functional: GGA-PBE
Structure: relaxed

abc: 7.6496 7.6496 3.9858
angles: 90.00 90.00 90.00
Space group P4/mbm (No. 127)
Symmetry-distinct sites (fractional):
Ho: 0.1610 0.3390 0.0000 (multiplicity 4)
Tm: 0.0000 0.0000 0.5000 (multiplicity 2)
Pt: 0.1407 0.6407 0.5000 (multiplicity 4)

Density of states at the Fermi level: 6.095 states/eV per cell
Total magnetic moment: 0.00 μB per atom
Energy relative to the elements: -5.52 eV/f.u.